A relaxed structure of ScCrCu, computed with PBE.

Computed properties:
DOS(E_F) in states/eV/f.u.: 2.2
DFT total energy in eV per atom: -6.463
Distance to the lowest polymorph of the same formula in eV/f.u.: 0.59
Calculated formation energy in eV/atom: 0.2208
SG: No. 156

a = 4.3170 Å, b = 4.3170 Å, c = 3.1546 Å
α = 90.00°, β = 90.00°, γ = 120.00°
Last column: magnetic moment on the atom in μB.
Positions (direct):
Cr 0.0000 0.0000 0.1646  3.00
Cu 0.6667 0.3333 0.1690  0.11
Sc 0.3333 0.6667 0.6664  -0.12